DFT (PBE) results for an optimized crystal structure of AgPPb.

Values from the calculation:
The total energy comes out at -22.77 eV/cell. The calculated volume is 157.7 Å³/cell. The energy above the lowest structure with this stoichiometry is 84 meV/atom. The formation energy comes out at 0.58 eV/f.u. As for the total moment: 0.00 μB per formula unit.

abc: 4.3915 4.3915 9.4395
angles: 90.00 90.00 120.00
Closest atoms and distances in Å follow each position.
Sites, in units of the cell vectors:
Ag 0.3333 0.6667 0.9202  3 P 2.54
Ag 0.6667 0.3333 0.4202  3 P 2.54
P 0.0000 0.0000 0.9204  3 Ag 2.54
P 0.0000 0.0000 0.4204  3 Ag 2.54
Pb 0.3333 0.6667 0.2393  4 Ag 3.01-3.06, 3 P 3.06
Pb 0.6667 0.3333 0.7393  4 Ag 3.01-3.06, 3 P 3.06